(1)
{
  "formula": "Pr2YPb",
  "functional": "GGA-PBE",
  "state": "relaxed",
  "lattice_angstrom": [[1.8469, 1.0663, 11.3795], [-1.8469, 1.0663, 11.3795], [0.0000, -2.1326, 11.3795]],
  "species": ["Pr", "Pr", "Y", "Pb"],
  "fractional_positions": [[0.0000, 0.0000, 0.0000], [0.1716, 0.1716, 0.1716], [0.7524, 0.7524, 0.7524], [0.5861, 0.5861, 0.5861]],
  "dos_ef_per_ev_cell": 4.67,
  "formation_energy_ev_per_atom": -0.145,
  "energy_ev_per_atom": -5.078,
  "spacegroup": "No. 160"
}

(2)
{
  "formula": "Pr7Y12Pb",
  "functional": "GGA-PBE",
  "state": "relaxed",
  "lattice_angstrom": [[6.2198, 3.5910, 5.1837], [-6.2198, 3.5910, 5.1837], [0.0000, -7.1820, 5.1837]],
  "species": ["Pr", "Pr", "Pr", "Pr", "Pr", "Pr", "Pr", "Y", "Y", "Y", "Y", "Y", "Y", "Y", "Y", "Y", "Y", "Y", "Y", "Pb"],
  "fractional_positions": [[0.0000, 0.0000, 0.0000], [0.1188, 0.7175, 0.2679], [0.2679, 0.1188, 0.7175], [0.2825, 0.7321, 0.8812], [0.7175, 0.2679, 0.1188], [0.7321, 0.8812, 0.2825], [0.8812, 0.2825, 0.7321], [0.0392, 0.1582, 0.3787], [0.1582, 0.3787, 0.0392], [0.1650, 0.4938, 0.6113], [0.3787, 0.0392, 0.1582], [0.3887, 0.8350, 0.5062], [0.4938, 0.6113, 0.1650], [0.5062, 0.3887, 0.8350], [0.6113, 0.1650, 0.4938], [0.6213, 0.9608, 0.8418], [0.8350, 0.5062, 0.3887], [0.8418, 0.6213, 0.9608], [0.9608, 0.8418, 0.6213], [0.5000, 0.5000, 0.5000]],
  "dos_ef_per_ev_cell": 36.35,
  "formation_energy_ev_per_atom": 0.140,
  "energy_ev_per_atom": -5.597,
  "spacegroup": "No. 148"
}

(3)
{
  "formula": "Pr2YPb2",
  "functional": "GGA-PBE",
  "state": "relaxed",
  "lattice_angstrom": [[8.3283, 0.0000, 0.0000], [0.0000, 8.3283, 0.0000], [0.0000, 0.0000, 4.6281]],
  "species": ["Pr", "Pr", "Pr", "Pr", "Y", "Y", "Pb", "Pb", "Pb", "Pb"],
  "fractional_positions": [[0.1687, 0.3313, 0.0000], [0.3313, 0.8313, 0.0000], [0.6687, 0.1687, 0.0000], [0.8313, 0.6687, 0.0000], [0.0000, 0.0000, 0.5000], [0.5000, 0.5000, 0.5000], [0.1359, 0.6359, 0.5000], [0.3641, 0.1359, 0.5000], [0.6359, 0.8641, 0.5000], [0.8641, 0.3641, 0.5000]],
  "dos_ef_per_ev_cell": 9.45,
  "formation_energy_ev_per_atom": -0.546,
  "energy_ev_per_atom": -5.234,
  "spacegroup": "No. 127"
}

(4)
{
  "formula": "Pr2YPb2",
  "functional": "GGA-PBE",
  "state": "relaxed",
  "lattice_angstrom": [[10.2667, 0.0000, 0.0000], [0.0000, 9.0494, 0.0000], [-0.0022, 0.0000, 7.3153]],
  "species": ["Pr", "Pr", "Pr", "Pr", "Pr", "Pr", "Pr", "Pr", "Y", "Y", "Y", "Y", "Pb", "Pb", "Pb", "Pb", "Pb", "Pb", "Pb", "Pb"],
  "fractional_positions": [[0.0906, 0.2504, 0.0001], [0.0906, 0.2496, 0.5001], [0.3208, 0.7493, 0.9999], [0.3208, 0.7507, 0.4999], [0.6792, 0.2493, 0.5001], [0.6792, 0.2507, 0.0001], [0.9094, 0.7496, 0.9999], [0.9094, 0.7504, 0.4999], [0.3875, 0.0910, 0.7516], [0.3875, 0.4090, 0.2516], [0.6125, 0.5910, 0.7484], [0.6125, 0.9090, 0.2484], [0.1149, 0.5560, 0.2505], [0.1149, 0.9440, 0.7505], [0.3485, 0.0741, 0.2495], [0.3485, 0.4259, 0.7495], [0.6515, 0.5741, 0.2505], [0.6515, 0.9259, 0.7505], [0.8851, 0.0560, 0.2495], [0.8851, 0.4440, 0.7495]],
  "dos_ef_per_ev_cell": 14.21,
  "formation_energy_ev_per_atom": -0.403,
  "energy_ev_per_atom": -5.091,
  "spacegroup": "No. 14"
}

(5)
{
  "formula": "Pr2YPb",
  "functional": "GGA-PBE",
  "state": "relaxed",
  "lattice_angstrom": [[1.8137, 1.0471, 12.4217], [-1.8137, 1.0471, 12.4217], [0.0000, -2.0943, 12.4217]],
  "species": ["Pr", "Pr", "Y", "Pb"],
  "fractional_positions": [[0.0882, 0.0882, 0.0882], [0.9118, 0.9118, 0.9118], [0.5000, 0.5000, 0.5000], [0.0000, 0.0000, 0.0000]],
  "dos_ef_per_ev_cell": 4.30,
  "formation_energy_ev_per_atom": 0.042,
  "energy_ev_per_atom": -4.891,
  "spacegroup": "No. 166"
}

(6)
{
  "formula": "Pr6YPb",
  "functional": "GGA-PBE",
  "state": "relaxed",
  "lattice_angstrom": [[5.0766, 0.0000, 0.0000], [0.0000, 5.0766, 0.0000], [0.0000, 0.0000, 10.4855]],
  "species": ["Pr", "Pr", "Pr", "Pr", "Pr", "Pr", "Y", "Pb"],
  "fractional_positions": [[0.0000, 0.0000, 0.0000], [0.0000, 0.0000, 0.5000], [0.0000, 0.5000, 0.2434], [0.0000, 0.5000, 0.7566], [0.5000, 0.0000, 0.2434], [0.5000, 0.0000, 0.7566], [0.5000, 0.5000, 0.5000], [0.5000, 0.5000, 0.0000]],
  "dos_ef_per_ev_cell": 8.14,
  "formation_energy_ev_per_atom": -0.147,
  "energy_ev_per_atom": -5.003,
  "spacegroup": "No. 123"
}

(7)
{
  "formula": "Pr3YPb3",
  "functional": "GGA-PBE",
  "state": "relaxed",
  "lattice_angstrom": [[4.2646, -5.5015, 0.0000], [4.2646, 5.5015, 0.0000], [-0.1041, 0.0000, 9.8097]],
  "species": ["Pr", "Pr", "Pr", "Pr", "Pr", "Pr", "Y", "Y", "Pb", "Pb", "Pb", "Pb", "Pb", "Pb"],
  "fractional_positions": [[0.1846, 0.8154, 0.0000], [0.2319, 0.7681, 0.5000], [0.4243, 0.4243, 0.1880], [0.5757, 0.5757, 0.8120], [0.7681, 0.2319, 0.5000], [0.8154, 0.1846, 0.0000], [0.2835, 0.2835, 0.5346], [0.7165, 0.7165, 0.4654], [0.0383, 0.0383, 0.2663], [0.0439, 0.4784, 0.7585], [0.4784, 0.0439, 0.7585], [0.5216, 0.9561, 0.2415], [0.9561, 0.5216, 0.2415], [0.9617, 0.9617, 0.7337]],
  "dos_ef_per_ev_cell": 15.90,
  "formation_energy_ev_per_atom": -0.376,
  "energy_ev_per_atom": -4.937,
  "spacegroup": "No. 12"
}

(8)
{
  "formula": "Pr5Y8Pb",
  "functional": "GGA-PBE",
  "state": "relaxed",
  "lattice_angstrom": [[-5.3990, 5.3990, 4.1441], [5.3990, -5.3990, 4.1441], [5.3990, 5.3990, -4.1441]],
  "species": ["Pr", "Pr", "Pr", "Pr", "Pr", "Y", "Y", "Y", "Y", "Y", "Y", "Y", "Y", "Pb"],
  "fractional_positions": [[0.0000, 0.0000, 0.0000], [0.3744, 0.5760, 0.7995], [0.4240, 0.2235, 0.7983], [0.4251, 0.6256, 0.2017], [0.7765, 0.5749, 0.2005], [0.0821, 0.4205, 0.3383], [0.0822, 0.7438, 0.6617], [0.2562, 0.9179, 0.3384], [0.5358, 0.0373, 0.0731], [0.5373, 0.4642, 0.5015], [0.5795, 0.9178, 0.6616], [0.9627, 0.0357, 0.4985], [0.9643, 0.4627, 0.9269], [0.7500, 0.2500, 0.5000]],
  "dos_ef_per_ev_cell": 24.71,
  "formation_energy_ev_per_atom": 0.107,
  "energy_ev_per_atom": -5.558,
  "spacegroup": "No. 82"
}

(9)
{
  "formula": "Pr3Y2Pb3",
  "functional": "GGA-PBE",
  "state": "relaxed",
  "lattice_angstrom": [[9.3229, 0.0000, 0.0000], [-4.6615, 8.0739, 0.0000], [0.0000, 0.0000, 6.7948]],
  "species": ["Pr", "Pr", "Pr", "Pr", "Pr", "Pr", "Y", "Y", "Y", "Y", "Pb", "Pb", "Pb", "Pb", "Pb", "Pb"],
  "fractional_positions": [[0.0000, 0.2412, 0.2500], [0.0000, 0.7588, 0.7500], [0.2412, 0.0000, 0.2500], [0.2412, 0.2412, 0.7500], [0.7588, 0.0000, 0.7500], [0.7588, 0.7588, 0.2500], [0.3333, 0.6667, 0.0000], [0.3333, 0.6667, 0.5000], [0.6667, 0.3333, 0.0000], [0.6667, 0.3333, 0.5000], [0.0000, 0.3979, 0.7500], [0.0000, 0.6021, 0.2500], [0.3979, 0.0000, 0.7500], [0.3979, 0.3979, 0.2500], [0.6021, 0.0000, 0.2500], [0.6021, 0.6021, 0.7500]],
  "dos_ef_per_ev_cell": 16.70,
  "formation_energy_ev_per_atom": -0.564,
  "energy_ev_per_atom": -5.363,
  "spacegroup": "No. 193"
}

(10)
{
  "formula": "PrY2Pb2",
  "functional": "GGA-PBE",
  "state": "relaxed",
  "lattice_angstrom": [[5.8347, 0.0000, 0.0000], [0.0000, 4.0633, 0.0000], [-1.2548, 0.0000, 13.5107]],
  "species": ["Pr", "Pr", "Y", "Y", "Y", "Y", "Pb", "Pb", "Pb", "Pb"],
  "fractional_positions": [[0.2142, 0.2500, 0.2564], [0.7858, 0.7500, 0.7436], [0.2470, 0.7500, 0.4730], [0.3279, 0.2500, 0.8940], [0.6721, 0.7500, 0.1060], [0.7530, 0.2500, 0.5270], [0.1711, 0.7500, 0.0594], [0.2739, 0.2500, 0.6631], [0.7261, 0.7500, 0.3369], [0.8289, 0.2500, 0.9406]],
  "dos_ef_per_ev_cell": 12.63,
  "formation_energy_ev_per_atom": -0.291,
  "energy_ev_per_atom": -5.316,
  "spacegroup": "No. 11"
}

(11)
{
  "formula": "PrY2Pb",
  "functional": "GGA-PBE",
  "state": "relaxed",
  "lattice_angstrom": [[3.8722, 0.0000, 0.0000], [0.0000, 3.8722, 0.0000], [0.0000, 0.0000, 8.4129]],
  "species": ["Pr", "Y", "Y", "Pb"],
  "fractional_positions": [[0.0000, 0.0000, 0.0000], [0.5000, 0.5000, 0.2809], [0.5000, 0.5000, 0.7191], [0.0000, 0.0000, 0.5000]],
  "dos_ef_per_ev_cell": 6.34,
  "formation_energy_ev_per_atom": -0.217,
  "energy_ev_per_atom": -5.571,
  "spacegroup": "No. 123"
}

(12)
{
  "formula": "PrYPb",
  "functional": "GGA-PBE",
  "state": "relaxed",
  "lattice_angstrom": [[5.2751, 0.0000, 0.0000], [-2.6376, 4.5684, 0.0000], [0.0000, 0.0000, 4.0359]],
  "species": ["Pr", "Y", "Pb"],
  "fractional_positions": [[0.0000, 0.0000, 0.0000], [0.6667, 0.3333, 0.4682], [0.3333, 0.6667, 0.6053]],
  "dos_ef_per_ev_cell": 2.47,
  "formation_energy_ev_per_atom": -0.253,
  "energy_ev_per_atom": -5.237,
  "spacegroup": "No. 156"
}